No. 1
! TbPa4Sb5, relaxed, DFT PBE-GGA; values from VASP
&SYSTEM
  ibrav = 0, nat = 10, ntyp = 3
/
ATOMIC_SPECIES
Tb 158.93 Tb.upf
Pa 231.04 Pa.upf
Sb 121.76 Sb.upf
CELL_PARAMETERS angstrom
-4.880 4.880 3.086
4.880 -4.880 3.086
4.880 4.880 -3.086
ATOMIC_POSITIONS crystal
Tb 0.000 0.000 0.000
Pa 0.200 0.600 0.801
Pa 0.400 0.200 0.600
Pa 0.600 0.800 0.400
Pa 0.800 0.400 0.199
Sb 0.100 0.299 0.399
Sb 0.299 0.900 0.199
Sb 0.500 0.500 0.000
Sb 0.701 0.100 0.801
Sb 0.900 0.701 0.601
! energy relative to the elements, uncorrected: -0.572 eV per atom

No. 2
! Nd2Hg6Bi, relaxed, DFT PBE-GGA; values from VASP
&SYSTEM
  ibrav = 0, nat = 9, ntyp = 3
/
ATOMIC_SPECIES
Nd 144.24 Nd.upf
Hg 200.59 Hg.upf
Bi 208.98 Bi.upf
CELL_PARAMETERS angstrom
7.501 -4.554 0.000
7.501 4.554 0.000
-0.001 0.000 3.474
ATOMIC_POSITIONS crystal
Nd 0.164 0.164 0.499
Nd 0.836 0.836 0.501
Hg 0.169 0.497 0.997
Hg 0.169 0.831 0.000
Hg 0.497 0.169 0.997
Hg 0.503 0.831 0.003
Hg 0.831 0.169 0.000
Hg 0.831 0.503 0.003
Bi 0.500 0.500 0.500
! ΔH_f (0 K): -0.26 eV per atom

No. 3
! Ti2MoSe2Cl4, relaxed, DFT PBE-GGA; values from VASP
&SYSTEM
  ibrav = 0, nat = 9, ntyp = 4
/
ATOMIC_SPECIES
Ti 47.87 Ti.upf
Mo 95.94 Mo.upf
Se 78.96 Se.upf
Cl 35.45 Cl.upf
CELL_PARAMETERS angstrom
3.296 0.000 0.000
-1.648 2.854 0.000
0.000 0.000 21.794
ATOMIC_POSITIONS crystal
Ti 0.000 0.000 0.000
Ti 0.333 0.667 0.321
Mo 0.333 0.667 0.669
Se 0.000 0.000 0.592
Se 0.000 0.000 0.746
Cl 0.000 0.000 0.248
Cl 0.000 0.000 0.393
Cl 0.333 0.667 0.072
Cl 0.333 0.667 0.928
! energy relative to the elements, uncorrected: -1.233 eV per atom

No. 4
! LiTi3Mn, relaxed, DFT PBE-GGA; values from VASP
&SYSTEM
  ibrav = 0, nat = 5, ntyp = 3
/
ATOMIC_SPECIES
Li 6.94 Li.upf
Ti 47.87 Ti.upf
Mn 54.94 Mn.upf
CELL_PARAMETERS angstrom
4.561 0.000 0.000
0.000 4.561 0.000
0.000 0.000 4.561
ATOMIC_POSITIONS crystal
Li 0.000 0.000 0.000
Ti 0.000 0.500 0.500
Ti 0.500 0.000 0.500
Ti 0.500 0.500 0.000
Mn 0.500 0.500 0.500
! ΔH_f (0 K): 0.43 eV per atom

Q: Which theoretical density values were calculated for the entries above? A: 9.56, 11.90, 3.98, 3.60, in g/cm³.